[1]
# FeMo2S, optimized geometry, DFT PBE
data_FeMo2S
_cell_length_a 5.468
_cell_length_b 5.468
_cell_length_c 6.319
_cell_angle_alpha 64.36
_cell_angle_beta 64.36
_cell_angle_gamma 90.00
_symmetry_space_group_name_H-M 'P 1'
_symmetry_Int_Tables_number 1
loop_
_symmetry_equiv_pos_as_xyz
'x,y,z'
loop_
_atom_site_label
_atom_site_type_symbol
_atom_site_fract_x
_atom_site_fract_y
_atom_site_fract_z
S1 S 0.500 0.500 0.000
S2 S 0.250 0.750 0.500
Mo1 Mo 0.637 0.125 0.250
Mo2 Mo 0.113 0.625 0.250
Mo3 Mo 0.375 0.363 0.750
Mo4 Mo 0.875 0.887 0.750
Fe1 Fe 0.000 0.000 0.000
Fe2 Fe 0.750 0.250 0.500
# **Formation energy (no corrections)**: 0.597 eV per atom
# **Electronic total energy**: -7.966 eV/atom
# **DOS at the Fermi energy**: 1.083 states/eV/atom


[2]
# SmBi2Pb, optimized geometry, DFT PBE
data_SmBi2Pb
_cell_length_a 6.908
_cell_length_b 6.906
_cell_length_c 6.907
_cell_angle_alpha 76.23
_cell_angle_beta 60.47
_cell_angle_gamma 105.64
_symmetry_space_group_name_H-M 'P 1'
_symmetry_Int_Tables_number 1
loop_
_symmetry_equiv_pos_as_xyz
'x,y,z'
loop_
_atom_site_label
_atom_site_type_symbol
_atom_site_fract_x
_atom_site_fract_y
_atom_site_fract_z
Sm1 Sm 0.000 0.250 0.750
Sm2 Sm 0.000 0.750 0.250
Bi1 Bi 0.500 0.250 0.751
Bi2 Bi 0.000 0.750 0.750
Bi3 Bi 0.000 0.250 0.250
Bi4 Bi 0.500 0.750 0.249
Pb1 Pb 0.500 0.249 0.251
Pb2 Pb 0.500 0.751 0.749
# **E above lowest polymorph**: 12 meV per atom
# **Electronic total energy**: -4.452 eV/atom
# **DOS at the Fermi energy**: 0.624 states/eV/atom
# **DFT formation energy**: -0.405 eV/atom


[3]
# InIr4Os, optimized geometry, DFT PBE
data_InIr4Os
_cell_length_a 5.190
_cell_length_b 5.190
_cell_length_c 5.190
_cell_angle_alpha 60.00
_cell_angle_beta 60.00
_cell_angle_gamma 60.00
_symmetry_space_group_name_H-M 'P 1'
_symmetry_Int_Tables_number 1
loop_
_symmetry_equiv_pos_as_xyz
'x,y,z'
loop_
_atom_site_label
_atom_site_type_symbol
_atom_site_fract_x
_atom_site_fract_y
_atom_site_fract_z
In1 In 0.000 0.000 0.000
Ir1 Ir 0.874 0.375 0.375
Ir2 Ir 0.375 0.375 0.874
Ir3 Ir 0.375 0.874 0.375
Ir4 Ir 0.375 0.375 0.375
Os1 Os 0.750 0.750 0.750
# **Electronic total energy**: -7.578 eV/atom
# **DOS at the Fermi energy**: 1.611 states/eV/atom
# **DFT formation energy**: 0.657 eV/atom


[4]
# NbIrOs3, optimized geometry, DFT PBE
data_NbIrOs3
_cell_length_a 5.302
_cell_length_b 5.302
_cell_length_c 5.196
_cell_angle_alpha 59.33
_cell_angle_beta 59.33
_cell_angle_gamma 60.00
_symmetry_space_group_name_H-M 'P 1'
_symmetry_Int_Tables_number 1
loop_
_symmetry_equiv_pos_as_xyz
'x,y,z'
loop_
_atom_site_label
_atom_site_type_symbol
_atom_site_fract_x
_atom_site_fract_y
_atom_site_fract_z
Nb1 Nb 0.475 0.475 0.575
Ir1 Ir 0.975 0.975 0.075
Os1 Os 0.475 0.975 0.575
Os2 Os 0.975 0.475 0.575
Os3 Os 0.975 0.975 0.575
# **E above lowest polymorph**: 0 meV per atom
# **Electronic total energy**: -9.320 eV/atom
# **DOS at the Fermi energy**: 1.674 states/eV/atom
# **DFT formation energy**: 1.204 eV/atom


What did the second record say?
# SmBi2Pb, optimized geometry, DFT PBE
data_SmBi2Pb
_cell_length_a 6.908
_cell_length_b 6.906
_cell_length_c 6.907
_cell_angle_alpha 76.23
_cell_angle_beta 60.47
_cell_angle_gamma 105.64
_symmetry_space_group_name_H-M 'P 1'
_symmetry_Int_Tables_number 1
loop_
_symmetry_equiv_pos_as_xyz
'x,y,z'
loop_
_atom_site_label
_atom_site_type_symbol
_atom_site_fract_x
_atom_site_fract_y
_atom_site_fract_z
Sm1 Sm 0.000 0.250 0.750
Sm2 Sm 0.000 0.750 0.250
Bi1 Bi 0.500 0.250 0.751
Bi2 Bi 0.000 0.750 0.750
Bi3 Bi 0.000 0.250 0.250
Bi4 Bi 0.500 0.750 0.249
Pb1 Pb 0.500 0.249 0.251
Pb2 Pb 0.500 0.751 0.749
# **E above lowest polymorph**: 12 meV per atom
# **Electronic total energy**: -4.452 eV/atom
# **DOS at the Fermi energy**: 0.624 states/eV/atom
# **DFT formation energy**: -0.405 eV/atom


Q: Which of these has the highest electronic total energy?
A: SmBi2Pb


Q: Among the records above, which one has the highest DOS at the Fermi energy?
A: NbIrOs3


Q: electronic total energy of number 3 (InIr4Os)?
A: -7.578 eV/atom